Computed, not measured: crystalline LuFe2Hg at its relaxed geometry at the PBE level of DFT.

```
LuFe2Hg
1.0
0.000 3.268 3.268
3.268 0.000 3.268
3.268 3.268 0.000
Lu Fe Hg
1 2 1
Direct
0.000 0.000 0.000
0.250 0.250 0.250
0.500 0.500 0.500
0.750 0.750 0.750
```

Properties
ΔH_f (0 K): 18.8 kJ per mole of atoms
DFT total energy: -5.165 eV per atom
Density: 11.59 g/cm³

Computed, not measured: crystalline Cd2GaAgSe4 at its relaxed geometry at the PBE level of DFT.

```
Cd2GaAgSe4
1.0
8.600 0.000 0.000
0.000 7.335 0.000
0.000 0.000 7.016
Cd Ga Ag Se
4 2 2 8
Direct
0.247 0.177 0.000
0.253 0.823 0.500
0.747 0.823 0.500
0.753 0.177 0.000
0.000 0.680 0.005
0.500 0.320 0.505
0.000 0.340 0.504
0.500 0.660 0.004
0.000 0.365 0.124
0.000 0.675 0.656
0.238 0.827 0.117
0.262 0.173 0.617
0.500 0.325 0.156
0.500 0.635 0.624
0.738 0.173 0.617
0.762 0.827 0.117
```

Properties
DFT total energy: -3.245 eV per atom
Density: 5.39 g/cm³

Computed, not measured: crystalline Nd3Zn3Ni2Ir at its relaxed geometry at the PBE level of DFT.

```
Nd3Zn3Ni2Ir
1.0
7.233 0.000 0.000
-3.617 6.264 0.000
0.000 0.000 3.943
Nd Zn Ni Ir
3 3 2 1
Direct
0.000 0.587 0.000
0.413 0.413 0.000
0.587 0.000 0.000
0.000 0.244 0.500
0.244 0.000 0.500
0.756 0.756 0.500
0.333 0.667 0.500
0.667 0.333 0.500
0.000 0.000 0.000
```

Properties
ΔH_f (0 K): -42.2 kJ per mole of atoms
DFT total energy: -4.668 eV per atom
Density: 8.72 g/cm³

Computed, not measured: crystalline GdYLu2 at its relaxed geometry at the PBE level of DFT.

```
GdYLu2
1.0
3.588 -6.212 0.000
3.588 6.212 0.000
0.000 0.000 5.571
Gd Y Lu
2 2 4
Direct
0.166 0.834 0.750
0.834 0.166 0.250
0.334 0.666 0.250
0.666 0.334 0.750
0.168 0.333 0.750
0.333 0.168 0.250
0.667 0.832 0.750
0.832 0.667 0.250
```

Properties
ΔH_f (0 K): 0.3 kJ per mole of atoms
DFT total energy: -5.039 eV per atom
Density: 7.97 g/cm³
Excess energy over the best structure of this formula in the dataset: 0.00 eV per formula unit

Computed, not measured: crystalline TmTaPb2O6 at its relaxed geometry at the PBE level of DFT.

```
TmTaPb2O6
1.0
5.138 0.000 0.000
-1.269 5.112 0.000
-0.203 -0.637 5.586
Tm Ta Pb O
1 1 2 6
Direct
0.000 0.000 0.000
0.500 0.500 0.000
0.285 0.714 0.465
0.715 0.286 0.535
0.252 0.731 0.029
0.261 0.243 0.749
0.303 0.301 0.260
0.697 0.699 0.740
0.739 0.757 0.251
0.748 0.269 0.971
```

Properties
DFT total energy: -7.549 eV per atom
Density: 9.74 g/cm³

Computed, not measured: crystalline PrErPO at its relaxed geometry at the PBE level of DFT.

```
PrErPO
1.0
4.340 0.000 0.000
0.000 7.371 0.000
0.000 0.000 5.983
Pr Er P O
2 2 2 2
Direct
0.000 0.197 0.000
0.000 0.803 0.500
0.500 0.383 0.575
0.500 0.617 0.075
0.000 0.187 0.495
0.000 0.813 0.995
0.500 0.343 0.936
0.500 0.657 0.436
```

Properties
DFT total energy: -6.933 eV per atom
Density: 6.16 g/cm³
Excess energy over the best structure of this formula in the dataset: 0.00 eV per formula unit